The following is a PBE calculation of an optimized crystal structure of Tb9Sm4Tl11, from Alexandria via LeMat-Bulk.

a b c (Å): 14.1689 14.1689 3.5953
angles (deg): 90.00 90.00 109.73
With the nearest neighbours (Å) after each atom.
Fractional coordinates of all 24 atoms:
Tb  0.0000  0.0000  0.0000  4 Sm 3.33, 4 Tl 3.38, 2 Tb 3.60
Tb  0.1131  0.6594  0.0000  8 Tl 3.26-3.52, 1 Sm 3.48, 2 Tb 3.60
Tb  0.2967  0.4853  0.0000  8 Tl 3.26-3.34, 3 Tb 3.55-3.60, 1 Sm 3.65
Tb  0.3406  0.8869  0.0000  8 Tl 3.26-3.52, 1 Sm 3.48, 2 Tb 3.60
Tb  0.4853  0.2967  0.0000  8 Tl 3.26-3.34, 3 Tb 3.55-3.60, 1 Sm 3.65
Tb  0.5147  0.7033  0.0000  8 Tl 3.26-3.34, 3 Tb 3.55-3.60, 1 Sm 3.65
Tb  0.6594  0.1131  0.0000  8 Tl 3.26-3.52, 1 Sm 3.48, 2 Tb 3.60
Tb  0.7033  0.5147  0.0000  8 Tl 3.26-3.34, 3 Tb 3.55-3.60, 1 Sm 3.65
Tb  0.8869  0.3406  0.0000  8 Tl 3.26-3.52, 1 Sm 3.48, 2 Tb 3.60
Sm  0.0864  0.2495  0.0000  6 Tl 3.29-3.42, 3 Tb 3.33-3.65, 2 Sm 3.60
Sm  0.2495  0.0864  0.0000  6 Tl 3.29-3.42, 3 Tb 3.33-3.65, 2 Sm 3.60
Sm  0.7505  0.9136  0.0000  6 Tl 3.29-3.42, 3 Tb 3.33-3.65, 2 Sm 3.60
Sm  0.9136  0.7505  0.0000  6 Tl 3.29-3.42, 3 Tb 3.33-3.65, 2 Sm 3.60
Tl  0.0905  0.4525  0.5000  3 Tl 3.27-3.60, 6 Tb 3.31-3.36, 2 Sm 3.38
Tl  0.1236  0.8764  0.5000  6 Tb 3.38-3.52, 4 Sm 3.42, 2 Tl 3.60
Tl  0.2912  0.2912  0.5000  4 Tb 3.26, 4 Sm 3.29, 3 Tl 3.41-3.60
Tl  0.3129  0.6871  0.5000  8 Tb 3.26-3.32, 2 Tl 3.60
Tl  0.4525  0.0905  0.5000  3 Tl 3.27-3.60, 6 Tb 3.31-3.36, 2 Sm 3.38
Tl  0.5000  0.5000  0.5000  8 Tb 3.34, 4 Tl 3.41-3.60
Tl  0.5475  0.9095  0.5000  3 Tl 3.27-3.60, 6 Tb 3.31-3.36, 2 Sm 3.38
Tl  0.6871  0.3129  0.5000  8 Tb 3.26-3.32, 2 Tl 3.60
Tl  0.7088  0.7088  0.5000  4 Tb 3.26, 4 Sm 3.29, 3 Tl 3.41-3.60
Tl  0.8764  0.1236  0.5000  6 Tb 3.38-3.52, 4 Sm 3.42, 2 Tl 3.60
Tl  0.9095  0.5475  0.5000  3 Tl 3.27-3.60, 6 Tb 3.31-3.36, 2 Sm 3.38

The value obtained for the total energy is -3.89 eV/atom. The value obtained for the formation energy is -284 meV/atom. The total moment comes out at 0.000 μB/f.u. The crystal system is orthorhombic. The space group is Cmmm.